Record 1
# PBE LaTmNi4, optimized geometry
# * DOS(E_F): 15.52 states/eV/cell
# * spin magnetization: 0.00 μB/f.u.
# * calculated volume: 15.814 Å³/atom
# * formation enthalpy at 0 K: -0.396 eV/atom
data_LaTmNi4
_chemical_formula_sum 'La4 Tm4 Ni16'
_symmetry_space_group_name_H-M 'F -4 3 m'
_symmetry_Int_Tables_number 216
_symmetry_space_group_name_Hall 'F -4 2 3'
_cell_length_a 7.240
_cell_length_b 7.240
_cell_length_c 7.240
_cell_angle_alpha 90.00
_cell_angle_beta 90.00
_cell_angle_gamma 90.00
loop_
_atom_site_label
_atom_site_type_symbol
_atom_site_fract_x
_atom_site_fract_y
_atom_site_fract_z
_atom_site_occupancy
La1 La 0.000 0.000 0.000 1
Tm1 Tm 0.250 0.250 0.750 1
Ni1 Ni 0.124 0.124 0.376 1

---

Record 2
# PBE LaTm3Ni8, optimized geometry
# * DOS(E_F): 8.32 states/eV/cell
# * spin magnetization: 0.00 μB/f.u.
# * calculated volume: 15.457 Å³/atom
# * formation enthalpy at 0 K: -0.418 eV/atom
data_LaTm3Ni8
_chemical_formula_sum 'La1 Tm3 Ni8'
_symmetry_space_group_name_H-M 'P 3 m 1'
_symmetry_Int_Tables_number 156
_cell_length_a 5.0801
_cell_length_b 5.0801
_cell_length_c 8.2991
_cell_angle_alpha 90.00
_cell_angle_beta 90.00
_cell_angle_gamma 120.00
loop_
_symmetry_equiv_pos_as_xyz
'x,y,z'
'-y,x-y,z'
'-x+y,-x,z'
'-y,-x,z'
'-x+y,y,z'
'x,x-y,z'
loop_
_atom_site_label
_atom_site_type_symbol
_atom_site_fract_x
_atom_site_fract_y
_atom_site_fract_z
_atom_site_occupancy
La1 La 0.0000 0.0000 0.0000 1
Tm1 Tm 0.0000 0.0000 0.3761 1
Tm2 Tm 0.6667 0.3333 0.4955 1
Tm3 Tm 0.6667 0.3333 0.8651 1
Ni1 Ni 0.9997 0.4998 0.1897 1
Ni2 Ni 0.1684 0.3368 0.6783 1
Ni3 Ni 0.3333 0.6667 0.4318 1
Ni4 Ni 0.3333 0.6667 0.9311 1

---

Record 3
# PBE La3TmNi8, optimized geometry
# * DOS(E_F): 23.39 states/eV/cell
# * spin magnetization: 0.00 μB/f.u.
# * calculated volume: 16.233 Å³/atom
# * formation enthalpy at 0 K: -0.358 eV/atom
data_La3TmNi8
_chemical_formula_sum 'La9 Tm3 Ni24'
_symmetry_space_group_name_H-M 'R 3 m'
_symmetry_Int_Tables_number 160
_symmetry_space_group_name_Hall 'R 3 -2"'
_cell_length_a 5.1595
_cell_length_b 5.1595
_cell_length_c 25.3496
_cell_angle_alpha 90.00
_cell_angle_beta 90.00
_cell_angle_gamma 120.00
loop_
_atom_site_label
_atom_site_type_symbol
_atom_site_fract_x
_atom_site_fract_y
_atom_site_fract_z
_atom_site_occupancy
La1 La 0.0000 0.0000 0.0000 1
La2 La 0.0000 0.0000 0.1255 1
La3 La 0.0000 0.0000 0.6244 1
Tm1 Tm 0.0000 0.0000 0.5000 1
Ni1 Ni 0.0000 0.0000 0.3124 1
Ni2 Ni 0.0000 0.0000 0.8132 1
Ni3 Ni 0.0039 0.5019 0.0645 1
Ni4 Ni 0.1671 0.3342 0.8938 1

---

Record 4
# PBE LaTm2Ni9, optimized geometry
# * DOS(E_F): 46.29 states/eV/cell
# * spin magnetization: 0.01 μB/f.u.
# * calculated volume: 14.566 Å³/atom
# * formation enthalpy at 0 K: -0.415 eV/atom
data_LaTm2Ni9
_chemical_formula_sum 'La3 Tm6 Ni27'
_symmetry_space_group_name_H-M 'R -3 m'
_symmetry_Int_Tables_number 166
_symmetry_space_group_name_Hall '-R 3 2"'
_cell_length_a 4.9961
_cell_length_b 4.9961
_cell_length_c 24.2578
_cell_angle_alpha 90.00
_cell_angle_beta 90.00
_cell_angle_gamma 120.00
loop_
_atom_site_label
_atom_site_type_symbol
_atom_site_fract_x
_atom_site_fract_y
_atom_site_fract_z
_atom_site_occupancy
La1 La 0.0000 0.0000 0.0000 1
Tm1 Tm 0.0000 0.0000 0.1405 1
Ni1 Ni 0.0000 0.0000 0.3330 1
Ni2 Ni 0.0000 0.0000 0.5000 1
Ni3 Ni 0.0019 0.5010 0.9156 1

---

Record 5
# PBE LaUNi17, optimized geometry
# * DOS(E_F): 76.49 states/eV/cell
# * spin magnetization: 4.42 μB/f.u.
# * calculated volume: 12.681 Å³/atom
# * formation enthalpy at 0 K: -0.141 eV/atom
data_LaUNi17
_chemical_formula_sum 'La3 U3 Ni51'
_symmetry_space_group_name_H-M 'R 3 m'
_symmetry_Int_Tables_number 160
_symmetry_space_group_name_Hall 'R 3 -2"'
_cell_length_a 8.3047
_cell_length_b 8.3047
_cell_length_c 12.1018
_cell_angle_alpha 90.00
_cell_angle_beta 90.00
_cell_angle_gamma 120.00
loop_
_atom_site_label
_atom_site_type_symbol
_atom_site_fract_x
_atom_site_fract_y
_atom_site_fract_z
_atom_site_occupancy
La1 La 0.0000 0.0000 0.0000 1
U1 U 0.0000 0.0000 0.3278 1
Ni1 Ni 0.0000 0.0000 0.5568 1
Ni2 Ni 0.0000 0.0000 0.7556 1
Ni3 Ni 0.0397 0.3692 0.3268 1
Ni4 Ni 0.1670 0.3339 0.4937 1
Ni5 Ni 0.1692 0.3385 0.1475 1
Ni6 Ni 0.1698 0.3397 0.8411 1

---

Record 6
# PBE LaUNi4, optimized geometry
# * DOS(E_F): 35.31 states/eV/cell
# * spin magnetization: 2.33 μB/f.u.
# * calculated volume: 15.639 Å³/atom
# * formation enthalpy at 0 K: -0.174 eV/atom
data_LaUNi4
_chemical_formula_sum 'La4 U4 Ni16'
_symmetry_space_group_name_H-M 'F -4 3 m'
_symmetry_Int_Tables_number 216
_symmetry_space_group_name_Hall 'F -4 2 3'
_cell_length_a 7.213
_cell_length_b 7.213
_cell_length_c 7.213
_cell_angle_alpha 90.00
_cell_angle_beta 90.00
_cell_angle_gamma 90.00
loop_
_atom_site_label
_atom_site_type_symbol
_atom_site_fract_x
_atom_site_fract_y
_atom_site_fract_z
_atom_site_occupancy
La1 La 0.000 0.000 0.000 1
U1 U 0.250 0.250 0.250 1
Ni1 Ni 0.123 0.123 0.623 1

---

Record 7
# PBE La2UNi9, optimized geometry
# * DOS(E_F): 47.25 states/eV/cell
# * spin magnetization: 1.36 μB/f.u.
# * calculated volume: 14.940 Å³/atom
# * formation enthalpy at 0 K: -0.255 eV/atom
data_La2UNi9
_chemical_formula_sum 'La6 U3 Ni27'
_symmetry_space_group_name_H-M 'R -3 m'
_symmetry_Int_Tables_number 166
_symmetry_space_group_name_Hall '-R 3 2"'
_cell_length_a 4.9561
_cell_length_b 4.9561
_cell_length_c 25.2838
_cell_angle_alpha 90.00
_cell_angle_beta 90.00
_cell_angle_gamma 120.00
loop_
_atom_site_label
_atom_site_type_symbol
_atom_site_fract_x
_atom_site_fract_y
_atom_site_fract_z
_atom_site_occupancy
La1 La 0.0000 0.0000 0.1376 1
U1 U 0.0000 0.0000 0.0000 1
Ni1 Ni 0.0000 0.0000 0.3328 1
Ni2 Ni 0.0000 0.0000 0.5000 1
Ni3 Ni 0.0013 0.5007 0.0788 1

---

Record 8
# PBE LaU2Ni9, optimized geometry
# * DOS(E_F): 44.09 states/eV/cell
# * spin magnetization: 3.50 μB/f.u.
# * calculated volume: 14.380 Å³/atom
# * formation enthalpy at 0 K: -0.277 eV/atom
data_LaU2Ni9
_chemical_formula_sum 'La3 U6 Ni27'
_symmetry_space_group_name_H-M 'R -3 m'
_symmetry_Int_Tables_number 166
_symmetry_space_group_name_Hall '-R 3 2"'
_cell_length_a 4.9230
_cell_length_b 4.9230
_cell_length_c 24.6633
_cell_angle_alpha 90.00
_cell_angle_beta 90.00
_cell_angle_gamma 120.00
loop_
_atom_site_label
_atom_site_type_symbol
_atom_site_fract_x
_atom_site_fract_y
_atom_site_fract_z
_atom_site_occupancy
La1 La 0.0000 0.0000 0.0000 1
U1 U 0.0000 0.0000 0.1421 1
Ni1 Ni 0.0000 0.0000 0.3330 1
Ni2 Ni 0.0000 0.0000 0.5000 1
Ni3 Ni 0.0010 0.5005 0.9155 1

---

Record 9
# PBE La2U2Ni15, optimized geometry
# * DOS(E_F): 75.01 states/eV/cell
# * spin magnetization: 2.23 μB/f.u.
# * calculated volume: 14.175 Å³/atom
# * formation enthalpy at 0 K: -0.234 eV/atom
data_La2U2Ni15
_chemical_formula_sum 'La6 U6 Ni45'
_symmetry_space_group_name_H-M 'R -3 m'
_symmetry_Int_Tables_number 166
_symmetry_space_group_name_Hall '-R 3 2"'
_cell_length_a 8.5371
_cell_length_b 8.5371
_cell_length_c 12.8013
_cell_angle_alpha 90.00
_cell_angle_beta 90.00
_cell_angle_gamma 120.00
loop_
_atom_site_label
_atom_site_type_symbol
_atom_site_fract_x
_atom_site_fract_y
_atom_site_fract_z
_atom_site_occupancy
La1 La 0.0000 0.0000 0.1442 1
U1 U 0.0000 0.0000 0.4025 1
Ni1 Ni 0.0000 0.3082 0.5000 1
Ni2 Ni 0.0000 0.5000 0.0000 1
Ni3 Ni 0.0022 0.5011 0.3417 1

---

Record 10
# PBE LaV2Ni2, optimized geometry
# * DOS(E_F): 13.96 states/eV/cell
# * spin magnetization: 2.26 μB/f.u.
# * calculated volume: 17.251 Å³/atom
# * E above lowest polymorph: 0.000 eV/atom
# * formation enthalpy at 0 K: 0.034 eV/atom
data_LaV2Ni2
_chemical_formula_sum 'La2 V4 Ni4'
_symmetry_space_group_name_H-M 'I 4/m m m'
_symmetry_Int_Tables_number 139
_symmetry_space_group_name_Hall '-I 4 2'
_cell_length_a 4.076
_cell_length_b 4.076
_cell_length_c 10.383
_cell_angle_alpha 90.00
_cell_angle_beta 90.00
_cell_angle_gamma 90.00
loop_
_atom_site_label
_atom_site_type_symbol
_atom_site_fract_x
_atom_site_fract_y
_atom_site_fract_z
_atom_site_occupancy
La1 La 0.000 0.000 0.000 1
V1 V 0.000 0.500 0.250 1
Ni1 Ni 0.000 0.000 0.378 1

---

Record 11
# PBE LaV3Ni, optimized geometry
# * DOS(E_F): 6.22 states/eV/cell
# * spin magnetization: 4.46 μB/f.u.
# * calculated volume: 19.388 Å³/atom
# * E above lowest polymorph: 0.000 eV/atom
# * formation enthalpy at 0 K: 0.658 eV/atom
data_LaV3Ni
_chemical_formula_sum 'La1 V3 Ni1'
_symmetry_space_group_name_H-M 'P m -3 m'
_symmetry_Int_Tables_number 221
_symmetry_space_group_name_Hall '-P 4 2 3'
_cell_length_a 4.594
_cell_length_b 4.594
_cell_length_c 4.594
_cell_angle_alpha 90.00
_cell_angle_beta 90.00
_cell_angle_gamma 90.00
loop_
_atom_site_label
_atom_site_type_symbol
_atom_site_fract_x
_atom_site_fract_y
_atom_site_fract_z
_atom_site_occupancy
La1 La 0.000 0.000 0.000 1
V1 V 0.000 0.500 0.500 1
Ni1 Ni 0.500 0.500 0.500 1

---

Record 12
# PBE La2VNi2, optimized geometry
# * DOS(E_F): 10.45 states/eV/cell
# * spin magnetization: 3.38 μB/f.u.
# * calculated volume: 21.493 Å³/atom
# * formation enthalpy at 0 K: -0.012 eV/atom
data_La2VNi2
_chemical_formula_sum 'La4 V2 Ni4'
_symmetry_space_group_name_H-M 'P 4/m b m'
_symmetry_Int_Tables_number 127
_symmetry_space_group_name_Hall '-P 4 2ab'
_cell_length_a 7.302
_cell_length_b 7.302
_cell_length_c 4.031
_cell_angle_alpha 90.00
_cell_angle_beta 90.00
_cell_angle_gamma 90.00
loop_
_atom_site_label
_atom_site_type_symbol
_atom_site_fract_x
_atom_site_fract_y
_atom_site_fract_z
_atom_site_occupancy
La1 La 0.182 0.318 0.000 1
V1 V 0.000 0.000 0.500 1
Ni1 Ni 0.121 0.621 0.500 1